An optimized crystal structure of Tl2CuIr. Source: Alexandria, functional GGA-PBE.

```
Tl2CuIr
1.0
-3.092 3.092 6.103
3.092 -3.092 6.103
3.092 3.092 -6.103
Tl Cu Ir
4 2 2
Direct
0.120 0.625 0.995 Tl
0.375 0.370 0.495 Tl
0.630 0.125 0.005 Tl
0.875 0.880 0.505 Tl
0.250 0.750 0.500 Cu
0.500 0.500 0.000 Cu
0.000 0.000 0.000 Ir
0.750 0.250 0.500 Ir
```

E_tot = -3.516 eV/atom
Magnetization = 0.000 μB per formula unit
Density of states at the Fermi level = 4.9 states/eV per cell
Excess energy over the best structure of this formula in the dataset = 570 meV per atom
DFT formation energy = 0.906 eV/atom